Run P
PBE PbW2Se, relaxed; calculated volume = 286 Å³ per cell; Fermi-level density of states = 3.02 states/eV/f.u.; crystal system = cubic
1.0
6.590 0.000 0.000
0.000 6.590 0.000
0.000 0.000 6.590
Pb W Se
4 8 4
Direct
0.000 0.000 0.000
0.000 0.500 0.500
0.500 0.000 0.500
0.500 0.500 0.000
0.250 0.250 0.250
0.250 0.250 0.750
0.250 0.750 0.250
0.250 0.750 0.750
0.750 0.250 0.250
0.750 0.250 0.750
0.750 0.750 0.250
0.750 0.750 0.750
0.000 0.000 0.500
0.000 0.500 0.000
0.500 0.000 0.000
0.500 0.500 0.500

Run Q
PBE PbW2Se, relaxed; calculated volume = 88 Å³ per cell; Fermi-level density of states = 1.66 states/eV/f.u.; crystal system = tetragonal
1.0
3.288 0.000 0.000
0.000 3.288 0.000
0.000 0.000 8.128
Pb W Se
1 2 1
Direct
0.000 0.000 0.000
0.000 0.000 0.570
0.500 0.500 0.734
0.500 0.500 0.393

Least stable of them? run P.